Record 1
A geometry-optimized Pr5Mg structure, computed with PBE.

Computed properties:
**Spin magnetization**: 0.0 μB/cell
**Polymorph energy (0 for the lowest one)**: 3.2 kJ per mole of atoms
**Raw total energy**: -4.243 eV/atom
**E_form**: 0.005 eV per atom

a b c (Å): 5.1049 15.6397 5.1468
angles (deg): 90.00 90.00 90.00
Last column: nearest neighbours and their distance in Å.
Positions (direct):
Pr 0.0000 0.0000 0.0000  4 Mg 3.62, 8 Pr 3.64
Pr 0.0000 0.1647 0.5000  10 Pr 3.62-3.69, 2 Mg 3.63
Pr 0.0000 0.3337 0.0000  10 Pr 3.62-3.69, 2 Mg 3.66
Pr 0.0000 0.6663 0.0000  10 Pr 3.62-3.69, 2 Mg 3.66
Pr 0.0000 0.8353 0.5000  10 Pr 3.62-3.69, 2 Mg 3.63
Pr 0.5000 0.1663 0.0000  10 Pr 3.62-3.69, 2 Mg 3.66
Pr 0.5000 0.3353 0.5000  10 Pr 3.62-3.69, 2 Mg 3.63
Pr 0.5000 0.5000 0.0000  4 Mg 3.62, 8 Pr 3.64
Pr 0.5000 0.6647 0.5000  10 Pr 3.62-3.69, 2 Mg 3.63
Pr 0.5000 0.8337 0.0000  10 Pr 3.62-3.69, 2 Mg 3.66
Mg 0.0000 0.5000 0.5000  12 Pr 3.62-3.66
Mg 0.5000 0.0000 0.5000  12 Pr 3.62-3.66

Record 2
A geometry-optimized Pr6Mg23 structure, computed with PBE.

Computed properties:
**Spin magnetization**: 0.0 μB/cell
**Raw total energy**: -2.339 eV/atom
**E_form**: -0.085 eV per atom

a b c (Å): 10.2334 10.2334 10.2334
angles (deg): 60.00 60.00 60.00
Last column: nearest neighbours and their distance in Å.
Positions (direct):
Pr 0.2014 0.2014 0.7986  12 Mg 3.52-3.69
Pr 0.2014 0.7986 0.2014  12 Mg 3.52-3.69
Pr 0.2014 0.7986 0.7986  12 Mg 3.52-3.69
Pr 0.7986 0.2014 0.2014  12 Mg 3.52-3.69
Pr 0.7986 0.2014 0.7986  12 Mg 3.52-3.69
Pr 0.7986 0.7986 0.2014  12 Mg 3.52-3.69
Mg 0.0000 0.0000 0.5000  8 Mg 2.96-3.17
Mg 0.0000 0.5000 0.0000  8 Mg 2.96-3.17
Mg 0.0000 0.5000 0.5000  8 Mg 2.96-3.17
Mg 0.1371 0.6210 0.6210  7 Mg 3.03-3.18
Mg 0.1706 0.1706 0.1706  9 Mg 2.96-3.25
Mg 0.1706 0.1706 0.4881  9 Mg 2.96-3.25
Mg 0.1706 0.4881 0.1706  9 Mg 2.96-3.25
Mg 0.3790 0.3790 0.3790  7 Mg 3.03-3.18
Mg 0.3790 0.3790 0.8629  7 Mg 3.03-3.18
Mg 0.3790 0.8629 0.3790  7 Mg 3.03-3.18
Mg 0.4881 0.1706 0.1706  9 Mg 2.96-3.25
Mg 0.5000 0.0000 0.0000  8 Mg 2.96-3.17
Mg 0.5000 0.0000 0.5000  8 Mg 2.96-3.17
Mg 0.5000 0.5000 0.0000  8 Mg 2.96-3.17
Mg 0.5000 0.5000 0.5000  8 Mg 3.03
Mg 0.5119 0.8294 0.8294  9 Mg 2.96-3.25
Mg 0.6210 0.1371 0.6210  7 Mg 3.03-3.18
Mg 0.6210 0.6210 0.1371  7 Mg 3.03-3.18
Mg 0.6210 0.6210 0.6210  7 Mg 3.03-3.18
Mg 0.8294 0.5119 0.8294  9 Mg 2.96-3.25
Mg 0.8294 0.8294 0.5119  9 Mg 2.96-3.25
Mg 0.8294 0.8294 0.8294  9 Mg 2.96-3.25
Mg 0.8629 0.3790 0.3790  7 Mg 3.03-3.18

Record 3
A geometry-optimized Pr3Mg structure, computed with PBE.

Computed properties:
**Spin magnetization**: 0.0 μB/cell
**Raw total energy**: -3.998 eV/atom
**E_form**: -0.015 eV per atom

a b c (Å): 5.0367 5.0367 10.2774
angles (deg): 90.00 90.00 90.00
Last column: nearest neighbours and their distance in Å.
Positions (direct):
Pr 0.0000 0.0000 0.0000  4 Mg 3.56, 8 Pr 3.60
Pr 0.0000 0.5000 0.2500  8 Pr 3.56-3.60, 4 Mg 3.60
Pr 0.0000 0.5000 0.7500  8 Pr 3.56-3.60, 4 Mg 3.60
Pr 0.5000 0.0000 0.2500  8 Pr 3.56-3.60, 4 Mg 3.60
Pr 0.5000 0.0000 0.7500  8 Pr 3.56-3.60, 4 Mg 3.60
Pr 0.5000 0.5000 0.5000  4 Mg 3.56, 8 Pr 3.60
Mg 0.0000 0.0000 0.5000  12 Pr 3.56-3.60
Mg 0.5000 0.5000 0.0000  12 Pr 3.56-3.60

Record 4
A geometry-optimized Pr5Mg41 structure, computed with PBE.

Computed properties:
**Spin magnetization**: 0.0 μB/cell
**Raw total energy**: -2.009 eV/atom
**E_form**: -0.068 eV per atom

a b c (Å): 11.6426 11.6426 11.6426
angles (deg): 101.55 101.55 126.84
Last column: nearest neighbours and their distance in Å.
Positions (direct):
Pr 0.0000 0.0000 0.0000  20 Mg 3.70-3.96
Pr 0.2366 0.4284 0.6650  16 Mg 3.41-3.72
Pr 0.4284 0.7634 0.1918  16 Mg 3.41-3.72
Pr 0.5716 0.2366 0.8082  16 Mg 3.41-3.72
Pr 0.7634 0.5716 0.3350  16 Mg 3.41-3.72
Mg 0.0000 0.0000 0.5000  10 Mg 2.97-3.25
Mg 0.0000 0.5000 0.0000  10 Mg 2.97-3.25
Mg 0.0097 0.5973 0.6070  8 Mg 2.88-3.18
Mg 0.0803 0.9144 0.2880  10 Mg 2.96-3.24
Mg 0.0856 0.3736 0.1659  10 Mg 2.96-3.24
Mg 0.1088 0.6657 0.2910  8 Mg 3.02-3.24
Mg 0.1217 0.2200 0.3417  8 Mg 3.10-3.31
Mg 0.1740 0.3856 0.9403  7 Mg 2.96-3.24
Mg 0.1822 0.8912 0.5570  8 Mg 3.02-3.24
Mg 0.2077 0.9197 0.8341  10 Mg 2.96-3.24
Mg 0.2164 0.6590 0.8755  10 Mg 2.97-3.23
Mg 0.2200 0.8783 0.0983  8 Mg 3.10-3.31
Mg 0.2336 0.1740 0.7884  7 Mg 2.96-3.24
Mg 0.3343 0.6253 0.4430  8 Mg 3.02-3.24
Mg 0.3410 0.2164 0.5574  10 Mg 2.97-3.23
Mg 0.3736 0.2077 0.2880  10 Mg 2.96-3.24
Mg 0.3747 0.8178 0.7090  8 Mg 3.02-3.24
Mg 0.3856 0.4452 0.2116  7 Mg 2.96-3.24
Mg 0.4027 0.0097 0.4124  8 Mg 2.88-3.18
Mg 0.4452 0.2336 0.0597  7 Mg 2.96-3.24
Mg 0.5000 0.0000 0.0000  10 Mg 2.97-3.25
Mg 0.5000 0.5000 0.0000  8 Mg 3.03
Mg 0.5000 0.5000 0.5000  10 Mg 2.97-3.25
Mg 0.5548 0.7664 0.9403  7 Mg 2.96-3.24
Mg 0.5973 0.9903 0.5876  8 Mg 2.88-3.18
Mg 0.6144 0.5548 0.7884  7 Mg 2.96-3.24
Mg 0.6253 0.1822 0.2910  8 Mg 3.02-3.24
Mg 0.6264 0.7923 0.7120  10 Mg 2.96-3.24
Mg 0.6590 0.7836 0.4426  10 Mg 2.97-3.23
Mg 0.6657 0.3747 0.5570  8 Mg 3.02-3.24
Mg 0.7664 0.8260 0.2116  7 Mg 2.96-3.24
Mg 0.7800 0.1217 0.9017  8 Mg 3.10-3.31
Mg 0.7836 0.3410 0.1245  10 Mg 2.97-3.23
Mg 0.7923 0.0803 0.1659  10 Mg 2.96-3.24
Mg 0.8178 0.1088 0.4430  8 Mg 3.02-3.24
Mg 0.8260 0.6144 0.0597  7 Mg 2.96-3.24
Mg 0.8783 0.7800 0.6583  8 Mg 3.10-3.31
Mg 0.8912 0.3343 0.7090  8 Mg 3.02-3.24
Mg 0.9144 0.6264 0.8341  10 Mg 2.96-3.24
Mg 0.9197 0.0856 0.7120  10 Mg 2.96-3.24
Mg 0.9903 0.4027 0.3930  8 Mg 2.88-3.18

Record 5
A geometry-optimized Pr5Mg structure, computed with PBE.

Computed properties:
**Spin magnetization**: 0.0 μB/cell
**Polymorph energy (0 for the lowest one)**: 4.2 kJ per mole of atoms
**Raw total energy**: -4.232 eV/atom
**E_form**: 0.016 eV per atom

a b c (Å): 5.9311 3.7563 18.4798
angles (deg): 90.00 90.00 90.00
Last column: nearest neighbours and their distance in Å.
Positions (direct):
Pr 0.0000 0.0000 0.0000  2 Mg 3.49, 10 Pr 3.58-3.86
Pr 0.0000 0.0000 0.3221  2 Mg 3.55, 10 Pr 3.60-3.79
Pr 0.0000 0.5000 0.5000  2 Mg 3.49, 10 Pr 3.58-3.86
Pr 0.0000 0.5000 0.8221  2 Mg 3.55, 10 Pr 3.60-3.79
Pr 0.5000 0.0000 0.1979  8 Pr 3.49-3.76, 4 Mg 3.58
Pr 0.5000 0.0000 0.5387  10 Pr 3.49-3.76, 2 Mg 3.70
Pr 0.5000 0.0000 0.8665  12 Pr 3.60-3.86
Pr 0.5000 0.5000 0.0387  10 Pr 3.49-3.76, 2 Mg 3.70
Pr 0.5000 0.5000 0.3665  12 Pr 3.60-3.86
Pr 0.5000 0.5000 0.6979  8 Pr 3.49-3.76, 4 Mg 3.58
Mg 0.0000 0.0000 0.6589  10 Pr 3.49-3.70, 2 Mg 3.76
Mg 0.0000 0.5000 0.1589  10 Pr 3.49-3.70, 2 Mg 3.76

Record 6
A geometry-optimized Pr4Mg structure, computed with PBE.

Computed properties:
**Spin magnetization**: 0.0 μB/cell
**Polymorph energy (0 for the lowest one)**: 57.5 kJ per mole of atoms
**Raw total energy**: -3.578 eV/atom
**E_form**: 0.565 eV per atom

a b c (Å): 8.2081 8.2081 8.2081
angles (deg): 60.00 60.00 60.00
Last column: nearest neighbours and their distance in Å.
Positions (direct):
Pr 0.1878 0.7707 0.7707  1 Mg 2.93
Pr 0.2293 0.2293 0.2293  1 Mg 2.93
Pr 0.2293 0.2293 0.8122  1 Mg 2.93
Pr 0.2293 0.8122 0.2293  1 Mg 2.93
Pr 0.7707 0.1878 0.7707  1 Mg 2.93
Pr 0.7707 0.7707 0.1878  1 Mg 2.93
Pr 0.7707 0.7707 0.7707  1 Mg 2.93
Pr 0.8122 0.2293 0.2293  1 Mg 2.93
Mg 0.3750 0.3750 0.3750  4 Pr 2.93
Mg 0.6250 0.6250 0.6250  4 Pr 2.93

Record 7
A geometry-optimized Pr5Mg structure, computed with PBE.

Computed properties:
**Spin magnetization**: 0.0 μB/cell
**Polymorph energy (0 for the lowest one)**: 2.8 kJ per mole of atoms
**Raw total energy**: -4.247 eV/atom
**E_form**: 0.002 eV per atom

a b c (Å): 6.8598 6.8598 6.8598
angles (deg): 55.57 55.57 55.57
Last column: nearest neighbours and their distance in Å.
Positions (direct):
Pr 0.0000 0.6296 0.3704  8 Pr 3.50-3.64, 2 Mg 3.53
Pr 0.1588 0.1588 0.1588  9 Pr 3.63-3.70, 3 Mg 3.69
Pr 0.3704 0.0000 0.6296  8 Pr 3.50-3.64, 2 Mg 3.53
Pr 0.6296 0.3704 0.0000  8 Pr 3.50-3.64, 2 Mg 3.53
Pr 0.8412 0.8412 0.8412  9 Pr 3.63-3.70, 3 Mg 3.69
Mg 0.5000 0.5000 0.5000  12 Pr 3.53-3.69

Record 8
A geometry-optimized Pr5Mg structure, computed with PBE.

Computed properties:
**Spin magnetization**: 0.0 μB/cell
**Polymorph energy (0 for the lowest one)**: 0.0 kJ per mole of atoms
**Raw total energy**: -4.276 eV/atom
**E_form**: -0.027 eV per atom

a b c (Å): 3.7408 3.7408 14.6972
angles (deg): 90.00 90.00 90.00
Last column: nearest neighbours and their distance in Å.
Positions (direct):
Pr 0.0000 0.0000 0.0000  12 Pr 3.73-3.74
Pr 0.0000 0.0000 0.3530  4 Mg 3.42, 8 Pr 3.68-3.74
Pr 0.0000 0.0000 0.6470  4 Mg 3.42, 8 Pr 3.68-3.74
Pr 0.5000 0.5000 0.1785  12 Pr 3.68-3.74
Pr 0.5000 0.5000 0.8215  12 Pr 3.68-3.74
Mg 0.5000 0.5000 0.5000  8 Pr 3.42, 4 Mg 3.74